# CaNiP2 (PBE, relaxed)
# - Energy of formation: -0.367 eV per atom
# - N(E_F): 3.49 states/eV/f.u.
# - DFT total energy: -40.1 eV for the cell shown
# - Magnetization: 0.0 μB per formula unit
data_CaNiP2
_cell_length_a 3.888
_cell_length_b 6.584
_cell_length_c 6.184
_cell_angle_alpha 90.00
_cell_angle_beta 90.00
_cell_angle_gamma 90.00
_space_group_name_H-M_alt 'C m m m'
_space_group_IT_number 65
_space_group_name_Hall '-C 2 2'
loop_
_atom_site_label
_atom_site_type_symbol
_atom_site_fract_x
_atom_site_fract_y
_atom_site_fract_z
Ca1 Ca 0.000 0.000 0.000
Ni1 Ni 0.000 0.000 0.500
P1 P 0.000 0.500 0.320